Compound: ScGaCuCl
Source: the Alexandria database
Functional: PBE
Structure: relaxed

Lattice parameters (Å, degrees): 3.179 3.179 7.930 90.00 90.00 90.00
Space group P4mm (No. 99)
One atom of each set of equivalent atoms:
Sc (0.000, 0.000, 0.000)
Ga (0.000, 0.000, 0.395)
Cu (0.500, 0.500, 0.241)
Cl (0.500, 0.500, 0.819)

Output
The value obtained for the excess energy over the best structure of this formula in the dataset is 0.063 eV/atom. For the uncorrected formation energy, the calculation gives -0.592 eV per atom. The density of states at the Fermi level comes out at 1.97 states/eV/f.u.